# PaSnHgBi (PBE-GGA, relaxed)
data_PaSnHgBi
_chemical_formula_sum 'Pa1 Sn1 Hg1 Bi1'
_space_group_name_H-M_alt 'P m m m'
_space_group_IT_number 47
_space_group_name_Hall '-P 2 2'
_cell_length_a 4.3763
_cell_length_b 4.8434
_cell_length_c 4.8952
_cell_angle_alpha 90.00
_cell_angle_beta 90.00
_cell_angle_gamma 90.00
loop_
_atom_site_label
_atom_site_type_symbol
_atom_site_fract_x
_atom_site_fract_y
_atom_site_fract_z
Pa1 Pa 0.0000 0.0000 0.0000
Sn1 Sn 0.5000 0.0000 0.5000
Hg1 Hg 0.0000 0.5000 0.5000
Bi1 Bi 0.5000 0.5000 0.0000
# magnetic moment = 0.0 μB per cell
# crystal system = orthorhombic
# ΔE_f = -0.179 eV per atom